Material: PaMnNi2N4
Method: DFT, PBE-GGA
State: optimized geometry

Geometry as extended XYZ:
```
8
Lattice="-4.846 1.492 1.163 -3.277 -3.051 1.894 -1.053 2.507 4.029" Properties=species:S:1:pos:R:3 pbc="T T T"
Pa 0.000 0.000 0.000
Mn -2.165 -0.272 2.962
Ni -5.144 -0.914 3.010
Ni -4.033 1.862 4.077
N -5.563 1.550 5.214
N -2.801 1.429 2.653
N -1.730 -1.181 1.420
N -8.259 0.099 4.886
```

Summary:
The volume comes out at 86 Å³ per cell. The value obtained for the formation energy from raw total energies is -513 meV per atom. The value obtained for the total energy is -0.6213 Ry/atom. The space group is I-42m (121).

Material: MnNi2PdN
Method: DFT, PBE-GGA
State: optimized geometry

Geometry as extended XYZ:
```
5
Lattice="-3.450 -0.874 -1.347 0.329 -3.510 1.434 -1.628 1.226 3.375" Properties=species:S:1:pos:R:3 pbc="T T T"
Ni 0.165 -1.755 0.717
Ni -1.725 -0.437 -0.674
Mn -0.814 0.613 1.687
Pd -2.375 -1.579 1.731
N 0.000 0.000 0.000
```

Summary:
The volume comes out at 57 Å³ per cell. The value obtained for the formation energy from raw total energies is -146 meV per atom. The value obtained for the total energy is -0.5142 Ry/atom. The space group is P4/mmm (123). The distance to the lowest polymorph of the same formula is 0.0 meV per atom.